The following is a GGA-PBE calculation of an optimized crystal structure of LiPa2V, from Alexandria.

Properties
- Symmetry: R-3m
- Energy of formation: 36.9 kJ per mole of atoms
- Spin magnetization: 0.000 μB/atom

Cell: 11.310 11.310 11.310 Å, 15.24 15.24 15.24°
Fractional positions:
Li 0.000 0.000 0.000
Pa 0.092 0.092 0.092
Pa 0.908 0.908 0.908
V 0.500 0.500 0.500